No. 1
Crystalline Ti2AlNi9 at its relaxed geometry. Source: Alexandria, functional PBE.

Cell and atoms, written as extended XYZ:
```
12
Lattice="-0.761 3.159 1.543 -3.262 -0.046 -1.514 -3.915 -5.139 8.590" Properties=species:S:1:pos:R:3 pbc="T T T"
Ni -2.011 1.556 0.014
Ni -3.588 -2.593 3.538
Al 0.000 0.000 0.000
Ni -4.626 -1.876 5.751
Ni -4.901 -4.316 6.418
Ni -2.276 -0.869 0.658
Ti -1.290 -1.694 2.831
Ni -2.338 -0.990 5.067
Ni -3.312 -0.151 2.867
Ni -1.025 0.733 2.186
Ni -3.651 -2.714 7.947
Ti -2.625 -3.445 5.759
```

**Magnetic moment**: 0.00 μB per formula unit
**SG**: P4/mmm, No. 123
**Calculated formation energy**: -0.477 eV/atom
**Final energy**: -77.292 eV for the cell shown



No. 2
Crystalline Ti5AlNi6 at its relaxed geometry. Source: Alexandria, functional PBE.

Cell and atoms, written as extended XYZ:
```
12
Lattice="3.942 -0.004 -1.105 -2.884 5.961 -2.720 -0.125 -0.497 7.140" Properties=species:S:1:pos:R:3 pbc="T T T"
Al 0.000 0.000 0.000
Ti 1.362 0.633 4.860
Ni -0.257 2.348 -0.930
Ni 2.177 1.192 0.172
Ti -1.087 1.754 3.704
Ni 0.247 5.319 0.875
Ni -1.245 4.268 3.143
Ti -1.923 3.710 0.717
Ni 1.189 3.112 4.245
Ti -0.430 4.827 -1.544
Ni 0.685 0.141 2.440
Ti 0.466 2.730 1.658
```

**Magnetic moment**: 1.21 μB per formula unit
**SG**: Immm, No. 71
**Calculated formation energy**: -0.428 eV/atom
**Final energy**: -83.035 eV for the cell shown



No. 3
Crystalline TiAl3Ni at its relaxed geometry. Source: Alexandria, functional PBE.

Cell and atoms, written as extended XYZ:
```
5
Lattice="4.860 0.000 0.000 0.000 4.860 0.000 0.000 0.000 4.860" Properties=species:S:1:pos:R:3 pbc="T T T"
Al 0.000 2.430 0.000
Al 0.000 0.000 2.430
Ti 0.000 0.000 0.000
Ni 2.430 2.430 2.430
Al 2.430 0.000 0.000
```

**Magnetic moment**: 0.25 μB per formula unit
**SG**: Pm-3m, No. 221
**Calculated formation energy**: 1.196 eV/atom
**Final energy**: -18.922 eV for the cell shown
**Energy relative to the lowest polymorph listed for this composition**: 5.68 eV per formula unit



No. 4
Crystalline Ti2AlNi at its relaxed geometry. Source: Alexandria, functional PBE.

Cell and atoms, written as extended XYZ:
```
4
Lattice="4.044 0.000 0.000 0.000 3.811 0.000 0.000 0.000 3.811" Properties=species:S:1:pos:R:3 pbc="T T T"
Ti 0.000 0.000 1.906
Ni 2.022 1.906 1.906
Ti 0.000 1.906 0.000
Al 2.022 0.000 0.000
```

**Magnetic moment**: 0.56 μB per formula unit
**SG**: P4/mmm, No. 123
**Calculated formation energy**: -0.358 eV/atom
**Final energy**: -26.744 eV for the cell shown



No. 5
Crystalline Ti2AlNi at its relaxed geometry. Source: Alexandria, functional PBE.

Cell and atoms, written as extended XYZ:
```
4
Lattice="-4.099 -0.190 -1.537 -0.820 -2.001 -3.811 -2.146 -3.820 -0.051" Properties=species:S:1:pos:R:3 pbc="T T T"
Ti -5.298 -4.509 -4.050
Al -1.766 -1.503 -1.350
Ti 0.000 0.000 0.000
Ni -3.532 -3.006 -2.700
```

**Magnetic moment**: 3.00 μB per formula unit
**SG**: F-43m, No. 216
**Calculated formation energy**: -0.263 eV/atom
**Final energy**: -26.366 eV for the cell shown



No. 6
Crystalline Ti3AlNi2 at its relaxed geometry. Source: Alexandria, functional PBE.

Cell and atoms, written as extended XYZ:
```
12
Lattice="4.344 0.000 0.002 0.000 6.050 -0.001 -2.169 -3.026 6.625" Properties=species:S:1:pos:R:3 pbc="T T T"
Al 0.000 3.025 0.000
Ti 2.173 -1.513 4.280
Ni 2.173 3.026 1.949
Ti 2.172 4.537 0.000
Ni 0.002 3.023 4.676
Al 0.000 0.000 0.000
Ti 2.173 1.511 4.280
Ti 0.002 4.537 2.346
Ti 0.003 -1.513 6.626
Ni 2.173 0.002 1.949
Ti 0.002 1.513 2.346
Ni 0.001 -0.002 4.677
```

**Magnetic moment**: 0.34 μB per formula unit
**SG**: Cmmm, No. 65
**Calculated formation energy**: -0.334 eV/atom
**Final energy**: -81.986 eV for the cell shown
**Energy relative to the lowest polymorph listed for this composition**: 0.09 eV per formula unit



> What is the formula in the second record?

Ti5AlNi6